# Ca2FeCoPd

A relaxed Ca2FeCoPd crystal (PBE-GGA, the Alexandria database).

a b c (Å): 5.386 4.731 5.386
angles (deg): 90.00 90.00 90.00
Positions (direct):
Pd 0.000 0.000 0.000
Ca 0.000 0.000 0.500
Ca 0.500 0.000 0.000
Co 0.500 0.500 0.500
Fe 0.000 0.500 0.000

Summary:
Crystal system: tetragonal
SG: P4/mmm
Calculated volume, Å³ per atom: 27.4
DOS at the Fermi energy, states/eV/atom: 1.22
E, eV/atom: -4.2730

# CaFeCoPt2

A relaxed CaFeCoPt2 crystal (PBE-GGA, the Alexandria database).

a b c (Å): 4.905 4.372 4.905
angles (deg): 90.00 90.00 90.00
Positions (direct):
Pt 0.500 0.000 0.000
Pt 0.000 0.000 0.500
Co 0.000 0.500 0.000
Fe 0.500 0.500 0.500
Ca 0.000 0.000 0.000

Summary:
Crystal system: tetragonal
SG: P4/mmm
Calculated volume, Å³ per atom: 21.0
DOS at the Fermi energy, states/eV/atom: 1.63
E, eV/atom: -4.3079

# CaFeCo2Pt

A relaxed CaFeCo2Pt crystal (PBE-GGA, the Alexandria database).

a b c (Å): 4.707 4.718 4.707
angles (deg): 90.00 90.00 90.00
Positions (direct):
Co 0.000 0.000 0.500
Co 0.500 0.000 0.000
Pt 0.000 0.000 0.000
Fe 0.000 0.500 0.000
Ca 0.500 0.500 0.500

Summary:
Crystal system: tetragonal
SG: P4/mmm
Calculated volume, Å³ per atom: 20.9
DOS at the Fermi energy, states/eV/atom: 1.93
E, eV/atom: -5.4991

no.,M_tot (μB/f.u.)
1,4.85
2,4.90
3,7.17